This record from Alexandria via LeMat-Bulk describes a crystal of Tc2MoSe relaxed with PBEsol. The functional is meta-GGA SCAN.

Summary:
E (eV per atom): -30.943
Space-group type: P2/m
Crystal system: monoclinic
M_tot (μB/atom): 0.000

```
Tc2MoSe
1.0
2.8687 0.0000 0.0029
0.0000 4.0640 0.0000
-1.1549 0.0000 5.0400
Tc Mo Se
2 1 1
Direct
0.1300 0.0000 0.2571 Tc
0.8700 0.0000 0.7429 Tc
0.5000 0.5000 0.0000 Mo
0.5000 0.5000 0.5000 Se
```

---

This record from Alexandria via LeMat-Bulk describes a crystal of Tc2MoSe relaxed with PBEsol. The functional is meta-GGA SCAN.

Summary:
E (eV per atom): -30.972
Space-group type: Pmm2
Crystal system: orthorhombic
M_tot (μB/atom): 0.000

```
Tc2MoSe
1.0
-1.4824 -2.4763 -0.1396
1.9482 -0.9756 -3.3816
3.5895 -2.3029 2.7323
Tc Mo Se
2 1 1
Direct
0.0000 0.0000 0.0134 Tc
0.5000 0.5000 0.2397 Tc
0.0000 0.0000 0.4986 Mo
0.5000 0.5000 0.7482 Se
```

---

This record from Alexandria via LeMat-Bulk describes a crystal of TcMo2Se relaxed with PBEsol. The functional is meta-GGA SCAN.

Summary:
E (eV per atom): -31.017
Space-group type: Imm2
Crystal system: orthorhombic
M_tot (μB/atom): 0.000

```
TcMo2Se
1.0
2.9834 0.0000 0.0000
0.0000 4.4157 0.0000
-1.4917 -2.2078 4.4687
Mo Se Tc
2 1 1
Direct
0.9894 0.9894 0.9789 Mo
0.7769 0.2769 0.5538 Mo
0.5043 0.5043 0.0085 Se
0.2294 0.7294 0.4588 Tc
```

---

This record from Alexandria via LeMat-Bulk describes a crystal of TcMo2Se relaxed with PBEsol. The functional is meta-GGA SCAN.

Summary:
E (eV per atom): -30.901
Space-group type: R3m
Crystal system: trigonal
M_tot (μB/atom): 0.000

```
TcMo2Se
1.0
2.8924 0.0000 0.0000
1.4462 2.5049 0.0000
1.4462 0.8350 8.4031
Mo Se Tc
2 1 1
Direct
0.9975 0.9975 0.0075 Mo
0.7536 0.7536 0.7391 Mo
0.4992 0.4992 0.5023 Se
0.2496 0.2496 0.2511 Tc
```

---

This record from Alexandria via LeMat-Bulk describes a crystal of TcMo2Se relaxed with PBEsol. The functional is meta-GGA SCAN.

Summary:
E (eV per atom): -30.709
Space-group type: P4/mmm
Crystal system: tetragonal
M_tot (μB/atom): 0.000

```
TcMo2Se
1.0
3.6359 0.0000 0.0000
0.0000 3.6359 0.0000
0.0000 0.0000 4.5461
Mo Tc Se
2 1 1
Direct
0.0000 0.5000 0.0000 Mo
0.5000 0.0000 0.0000 Mo
0.0000 0.0000 0.5000 Tc
0.5000 0.5000 0.5000 Se
```

---

This record from Alexandria via LeMat-Bulk describes a crystal of TcMo2Se relaxed with PBEsol. The functional is meta-GGA SCAN.

Summary:
E (eV per atom): -31.019
Space-group type: Cm
Crystal system: monoclinic
M_tot (μB/atom): 0.000

```
TcMo2Se
1.0
2.9997 0.0000 0.0000
0.0000 4.6164 -0.0102
-1.4998 -1.1617 4.3517
Mo Se Tc
2 1 1
Direct
0.0155 0.0714 0.0309 Mo
0.2362 0.6820 0.4724 Mo
0.4986 0.5485 0.9972 Se
0.7497 0.1981 0.4994 Tc
```

---

Look up the M_tot of the fourth one.
0.000 μB/atom